The following is a DFT calculation (PBE+U) of NiBi3F after structural relaxation.

Geometry as POSCAR:
```
NiBi3F
1.0
5.064 0.000 0.000
0.000 5.064 0.000
0.000 0.000 5.064
Ni Bi F
1 3 1
direct
0.000 0.000 0.000
0.000 0.500 0.000
0.000 0.000 0.500
0.500 0.000 0.000
0.500 0.500 0.500
```

Results
**Total energy**: -15.17 eV/f.u.